(1)
VASP calculation (PBE-GGA) on a relaxed structure of Tb2Dy12Ho5.

Computed properties:
Space group: C2/m

abc: 9.163 9.054 8.485
angles: 91.10 90.00 120.40
Positions (direct):
Dy 0.027 0.693 0.759
Dy 0.434 0.255 0.662
Dy 0.558 0.117 0.335
Dy 0.820 0.255 0.662
Dy 0.335 0.307 0.241
Dy 0.566 0.745 0.338
Dy 0.089 0.177 0.882
Dy 0.442 0.883 0.665
Dy 0.973 0.307 0.241
Dy 0.911 0.823 0.118
Dy 0.180 0.745 0.338
Dy 0.665 0.693 0.759
Tb 0.677 0.000 0.000
Tb 0.323 0.000 0.000
Ho 0.700 0.399 0.014
Ho 0.769 0.537 0.427
Ho 0.231 0.463 0.573
Ho 0.300 0.601 0.986
Ho 0.000 0.000 0.500



(2)
VASP calculation (PBE-GGA) on a relaxed structure of Pm3ErAl8.

Computed properties:
Space group: R3m

abc: 5.620 5.620 9.772
angles: 73.29 73.29 60.00
Positions (direct):
Pm 0.000 0.000 0.001
Pm 0.375 0.375 0.875
Pm 0.500 0.500 0.500
Al 0.938 0.938 0.685
Al 0.936 0.437 0.190
Al 0.437 0.437 0.190
Al 0.687 0.687 0.938
Al 0.188 0.188 0.437
Al 0.938 0.439 0.685
Al 0.437 0.936 0.190
Al 0.439 0.938 0.685
Er 0.875 0.875 0.374



E above lowest polymorph? In order: 110.6; 0.0 meV/atom.
DFT formation energy? In order: 128.9; -505.4 meV per atom.
Total moment? In order: 0.0; 0.0 μB per cell.